Crystalline La2ErGa4 at its relaxed geometry. Source: Alexandria via LeMat-Bulk, functional PBE.

Calculated values
Its volume is 349.0 Å³/cell. The density of states at the Fermi level is 11.310 states/eV per cell. The formation energy is -0.588 eV/atom.

Cell lengths 4.2164, 4.3279, 19.1251 Å; angles 90.00, 90.00, 90.00 degrees
Space group Immm (No. 71)
Symmetry-distinct sites (fractional):
La1 0.0000 0.0000 0.1846 (multiplicity 4)
Er1 0.0000 0.5000 0.5000 (multiplicity 2)
Ga1 0.0000 0.0000 0.3646 (multiplicity 4)
Ga2 0.0000 0.5000 0.0632 (multiplicity 4)